The following is a DFT calculation (GGA-PBE) of a relaxed MnOsBr2 crystal.

Geometry as extended XYZ:
```
4
Lattice="8.438 -1.548 0.000 8.438 1.548 0.000 -1.026 0.000 4.046" Properties=species:S:1:pos:R:3 pbc="T T T"
Mn 0.000 0.000 0.000
Os 7.925 0.000 2.023
Br 5.586 0.000 1.444
Br 10.263 0.000 2.602
```

- Formation energy without anion corrections: 0.365 eV per atom
- Energy relative to the lowest polymorph listed for this composition: 99 meV per atom
- Total energy: -5.572 eV/atom



The following is a DFT calculation (GGA-PBE) of a relaxed NbVCu6Se8 crystal.

Geometry as extended XYZ:
```
16
Lattice="5.679 0.000 0.000 0.000 5.679 0.000 0.000 0.000 11.348" Properties=species:S:1:pos:R:3 pbc="T T T"
Nb 0.000 0.000 0.000
V 0.000 0.000 5.674
Cu 0.000 0.000 2.862
Cu 0.000 0.000 8.486
Cu 0.000 2.840 0.000
Cu 0.000 2.840 5.674
Cu 2.840 0.000 0.000
Cu 2.840 0.000 5.674
Se 1.370 1.370 7.036
Se 1.370 4.310 4.312
Se 1.423 1.423 1.429
Se 1.423 4.256 9.919
Se 4.256 1.423 9.919
Se 4.256 4.256 1.429
Se 4.310 1.370 4.312
Se 4.310 4.310 7.036
```

- Formation energy without anion corrections: -0.509 eV per atom
- Total energy: -4.986 eV/atom



The following is a DFT calculation (GGA-PBE) of a relaxed NaCd2CoSn crystal.

Geometry as extended XYZ:
```
5
Lattice="5.076 0.000 0.000 0.000 5.076 0.000 0.000 0.000 4.801" Properties=species:S:1:pos:R:3 pbc="T T T"
Na 0.000 0.000 0.000
Cd 0.000 2.538 2.400
Cd 2.538 0.000 2.400
Co 2.538 2.538 2.400
Sn 2.538 2.538 0.000
```

- DFT formation energy: 0.0179 eV per atom
- Total energy: -2.834 eV/atom